First-principles (GGA+U) data for a geometry-optimized K2SmMnO4 structure, as listed in Alexandria via LeMat-Bulk.

- DFT total energy: -50.37 eV for the cell shown
- Fermi-level density of states: 0.050 states/eV per cell

Cell and atoms, written as CIF:
```
data_K2SmMnO4
_symmetry_space_group_name_H-M 'P 1'
_symmetry_Int_Tables_number 1
_symmetry_space_group_name_Hall 'P 1'
_cell_length_a 3.498
_cell_length_b 5.707
_cell_length_c 6.491
_cell_angle_alpha 107.32
_cell_angle_beta 90.00
_cell_angle_gamma 90.00
loop_
_atom_site_label
_atom_site_fract_x
_atom_site_fract_y
_atom_site_fract_z
O1 0.500 0.778 0.806
O2 0.000 0.765 0.174
O3 0.500 0.222 0.194
O4 0.000 0.235 0.826
K1 0.000 0.500 0.500
K2 0.500 0.000 0.500
Mn1 0.000 0.000 0.000
Sm1 0.500 0.500 0.000
```